TbSm2Y4: relaxed, PBE.

Properties
space group = C2/m, No. 12
total DFT energy (no corrections) = -5.665 eV per atom
Fermi-level density of states = 1.65 states/eV/atom

Unit cell a=8.6333 b=8.6333 c=8.8004 alpha=119.22 beta=119.22 gamma=23.86
Fractional coordinates of all 7 atoms:
Tb 0.0000 0.0000 0.0000
Sm 0.0696 0.0696 0.4301
Sm 0.9304 0.9304 0.5699
Y 0.2954 0.2954 0.7072
Y 0.3563 0.3563 0.1584
Y 0.6437 0.6437 0.8416
Y 0.7046 0.7046 0.2928

Tm2LuMg: relaxed, PBE.

Properties
space group = R-3m, No. 166
total DFT energy (no corrections) = -3.574 eV per atom
Fermi-level density of states = 0.77 states/eV/atom

Unit cell a=12.1813 b=12.1813 c=12.1813 alpha=15.97 beta=15.97 gamma=15.97
Fractional coordinates of all 4 atoms:
Tm 0.0900 0.0900 0.0900
Tm 0.9100 0.9100 0.9100
Lu 0.5000 0.5000 0.5000
Mg 0.0000 0.0000 0.0000

SmErCoBr: relaxed, PBE.

Properties
space group = Cm, No. 8
ΔE_f (raw) = -0.72 eV/atom
Fermi-level density of states = 0.19 states/eV/atom

Unit cell a=3.8720 b=3.8720 c=8.0188 alpha=104.01 beta=104.01 gamma=60.03
Fractional coordinates of all 4 atoms:
Sm 0.0000 0.0000 0.0000
Er 0.2076 0.2076 0.6217
Co 0.6023 0.6023 0.8063
Br 0.7742 0.7742 0.3230

What is the formula in the third record? SmErCoBr

Copy entry 1 word for word.
TbSm2Y4: relaxed, PBE.

Properties
space group = C2/m, No. 12
total DFT energy (no corrections) = -5.665 eV per atom
Fermi-level density of states = 1.65 states/eV/atom

Unit cell a=8.6333 b=8.6333 c=8.8004 alpha=119.22 beta=119.22 gamma=23.86
Fractional coordinates of all 7 atoms:
Tb 0.0000 0.0000 0.0000
Sm 0.0696 0.0696 0.4301
Sm 0.9304 0.9304 0.5699
Y 0.2954 0.2954 0.7072
Y 0.3563 0.3563 0.1584
Y 0.6437 0.6437 0.8416
Y 0.7046 0.7046 0.2928